Version P
8
Lattice="8.984 0.000 0.000 0.000 2.939 0.000 -1.013 0.000 4.879" Properties=species:S:1:pos:R:3 comment="CoHg2Ir meta-GGA SCAN single point on PBEsol structure" total_magnetization_mub_per_fu=1.92 pbc="T T T"
Co 0.000 0.000 0.000
Co 4.492 1.469 0.000
Hg 1.962 1.469 1.186
Hg 1.518 0.000 3.693
Hg 6.454 0.000 1.186
Hg 6.010 1.469 3.693
Ir -0.506 1.469 2.439
Ir 3.986 0.000 2.439

Version Q
16
Lattice="6.371 0.000 0.000 0.000 6.371 0.000 0.000 0.000 6.371" Properties=species:S:1:pos:R:3 comment="CoHg2Ir meta-GGA SCAN single point on PBEsol structure" total_magnetization_mub_per_fu=2.18 pbc="T T T"
Co 0.000 0.000 0.000
Co 0.000 3.186 3.186
Co 3.186 0.000 3.186
Co 3.186 3.186 0.000
Hg 0.000 0.000 3.186
Hg 0.000 3.186 0.000
Hg 1.593 1.593 1.593
Hg 1.593 4.779 4.779
Hg 3.186 0.000 0.000
Hg 3.186 3.186 3.186
Hg 4.779 1.593 4.779
Hg 4.779 4.779 1.593
Ir 1.593 1.593 4.779
Ir 1.593 4.779 1.593
Ir 4.779 1.593 1.593
Ir 4.779 4.779 4.779

Version R
4
Lattice="2.863 0.000 0.000 0.000 2.863 0.000 0.000 0.000 7.975" Properties=species:S:1:pos:R:3 comment="CoHg2Ir meta-GGA SCAN single point on PBEsol structure" total_magnetization_mub_per_fu=2.71 pbc="T T T"
Co 0.000 0.000 0.000
Hg 0.000 0.000 4.423
Hg 1.432 1.432 1.887
Ir 1.432 1.432 6.513

Most stable structure: version R

Version P
8
Lattice="4.984 0.000 0.000 0.000 4.984 0.000 0.000 0.000 7.079" Properties=species:S:1:pos:R:3 comment="KCoHg2 meta-GGA SCAN single point on PBEsol structure" total_magnetization_mub_per_fu=1.77 pbc="T T T"
K 0.000 0.000 0.000
K 2.492 2.492 3.540
Co 0.000 0.000 3.540
Co 2.492 2.492 0.000
Hg 0.000 2.492 1.770
Hg 0.000 2.492 5.309
Hg 2.492 0.000 1.770
Hg 2.492 0.000 5.309

Version Q
8
Lattice="4.350 0.000 0.000 0.000 4.350 0.000 0.000 0.000 9.245" Properties=species:S:1:pos:R:3 comment="KCoHg2 meta-GGA SCAN single point on PBEsol structure" total_magnetization_mub_per_fu=1.99 pbc="T T T"
K 0.000 0.000 0.000
K 2.175 2.175 4.622
Co 0.000 2.175 2.311
Co 2.175 0.000 6.934
Hg 0.000 0.000 4.622
Hg 0.000 2.175 6.934
Hg 2.175 0.000 2.311
Hg 2.175 2.175 0.000

Most stable structure: version Q

Version P
4
Lattice="2.994 0.000 0.000 0.000 2.995 0.000 -0.033 0.000 7.130" Properties=species:S:1:pos:R:3 comment="MnCoHg2 meta-GGA SCAN single point on PBEsol structure" total_magnetization_mub_per_fu=5.32 pbc="T T T"
Mn 0.000 0.000 0.000
Co 1.465 1.497 5.967
Hg 1.496 1.497 1.860
Hg 2.963 0.000 4.211

Version Q
12
Lattice="2.978 0.000 0.000 -1.489 2.579 0.000 0.000 0.000 25.777" Properties=species:S:1:pos:R:3 comment="MnCoHg2 meta-GGA SCAN single point on PBEsol structure" total_magnetization_mub_per_fu=5.61 pbc="T T T"
Mn 0.000 0.000 0.000
Mn 0.000 1.719 17.184
Mn 1.489 0.860 8.592
Co 0.000 0.000 12.888
Co 0.000 1.719 4.296
Co 1.489 0.860 21.480
Hg 0.000 0.000 6.373
Hg 0.000 0.000 19.403
Hg 0.000 1.719 10.811
Hg 0.000 1.719 23.558
Hg 1.489 0.860 2.219
Hg 1.489 0.860 14.965

Most stable structure: version P

Version P
8
Lattice="2.737 0.000 0.000 0.000 4.730 0.000 0.000 0.000 10.255" Properties=species:S:1:pos:R:3 comment="CoReHg2 meta-GGA SCAN single point on PBEsol structure" total_magnetization_mub_per_fu=1.56 pbc="T T T"
Co 0.000 0.000 0.000
Co 1.368 2.365 5.128
Re 0.000 2.365 7.065
Re 1.368 0.000 1.937
Hg 0.000 0.000 4.741
Hg 0.000 2.365 2.607
Hg 1.368 0.000 7.735
Hg 1.368 2.365 9.869

Version Q
8
Lattice="4.019 0.000 0.000 0.000 4.019 0.000 0.000 0.000 8.011" Properties=species:S:1:pos:R:3 comment="CoReHg2 meta-GGA SCAN single point on PBEsol structure" total_magnetization_mub_per_fu=3.70 pbc="T T T"
Co 0.000 0.000 0.000
Co 2.010 2.010 4.005
Re 0.000 0.000 4.005
Re 2.010 2.010 0.000
Hg 0.000 2.010 2.003
Hg 0.000 2.010 6.008
Hg 2.010 0.000 2.003
Hg 2.010 0.000 6.008

Most stable structure: version P

Version P
3
Lattice="4.392 0.000 0.000 -2.196 3.803 0.000 0.000 0.000 2.789" Properties=species:S:1:pos:R:3 comment="TaCoHg meta-GGA SCAN single point on PBEsol structure" total_magnetization_mub_per_fu=1.29 pbc="T T T"
Ta 0.000 0.000 0.000
Co 2.196 1.268 0.991
Hg 0.000 2.536 1.417

Version Q
12
Lattice="6.085 0.000 0.000 0.000 6.085 0.000 0.000 0.000 6.085" Properties=species:S:1:pos:R:3 comment="TaCoHg meta-GGA SCAN single point on PBEsol structure" total_magnetization_mub_per_fu=1.69 pbc="T T T"
Ta 0.000 0.000 0.000
Ta 0.000 3.042 3.042
Ta 3.042 0.000 3.042
Ta 3.042 3.042 0.000
Co 1.521 1.521 4.564
Co 1.521 4.564 1.521
Co 4.564 1.521 1.521
Co 4.564 4.564 4.564
Hg 1.521 1.521 1.521
Hg 1.521 4.564 4.564
Hg 4.564 1.521 4.564
Hg 4.564 4.564 1.521

Most stable structure: version P

Version P
6
Lattice="4.244 0.000 0.000 0.000 4.244 0.000 -0.011 0.000 6.273" Properties=species:S:1:pos:R:3 comment="TlCoHg meta-GGA SCAN single point on PBEsol structure" total_magnetization_mub_per_fu=0.00 pbc="T T T"
Tl 0.000 0.000 0.000
Tl 2.122 2.122 0.000
Co 2.111 0.000 4.576
Co 4.233 2.122 4.576
Hg 2.111 2.122 2.886
Hg 4.233 0.000 2.886

Version Q
12
Lattice="6.365 0.000 0.000 0.000 6.365 0.000 0.000 0.000 6.365" Properties=species:S:1:pos:R:3 comment="TlCoHg meta-GGA SCAN single point on PBEsol structure" total_magnetization_mub_per_fu=1.85 pbc="T T T"
Tl 0.000 0.000 0.000
Tl 0.000 3.183 3.183
Tl 3.183 0.000 3.183
Tl 3.183 3.183 0.000
Co 1.591 1.591 1.591
Co 1.591 4.774 4.774
Co 4.774 1.591 4.774
Co 4.774 4.774 1.591
Hg 1.591 1.591 4.774
Hg 1.591 4.774 1.591
Hg 4.774 1.591 1.591
Hg 4.774 4.774 4.774

Most stable structure: version P

Version P
8
Lattice="13.440 0.000 0.000 0.000 2.933 0.000 -1.441 0.000 4.171" Properties=species:S:1:pos:R:3 comment="TlCoHg2 meta-GGA SCAN single point on PBEsol structure" total_magnetization_mub_per_fu=1.55 pbc="T T T"
Tl 0.000 0.000 0.000
Tl 6.720 1.466 0.000
Co 2.146 1.466 0.747
Co 8.865 0.000 0.747
Hg 1.485 0.000 2.853
Hg 4.263 0.000 1.484
Hg 8.205 1.466 2.853
Hg 10.983 1.466 1.484

Version Q
4
Lattice="3.646 0.000 0.000 0.000 4.380 0.000 -1.399 0.000 5.163" Properties=species:S:1:pos:R:3 comment="TlCoHg2 meta-GGA SCAN single point on PBEsol structure" total_magnetization_mub_per_fu=1.91 pbc="T T T"
Tl 0.000 0.000 0.000
Co -0.699 0.000 2.581
Hg 0.288 2.190 3.712
Hg 1.958 2.190 1.451

Version R
8
Lattice="2.997 0.000 0.000 0.000 4.215 0.000 0.000 0.000 13.051" Properties=species:S:1:pos:R:3 comment="TlCoHg2 meta-GGA SCAN single point on PBEsol structure" total_magnetization_mub_per_fu=1.54 pbc="T T T"
Tl 0.000 0.000 0.000
Tl 0.000 2.107 6.525
Co 1.499 0.000 6.287
Co 1.499 2.107 12.813
Hg 0.000 0.000 4.073
Hg 0.000 2.107 10.599
Hg 1.499 0.000 8.904
Hg 1.499 2.107 2.379

Most stable structure: version P

Version P
12
Lattice="2.898 0.000 0.000 -1.449 2.510 0.000 0.000 0.000 27.166" Properties=species:S:1:pos:R:3 comment="CoHg2W meta-GGA SCAN single point on PBEsol structure" total_magnetization_mub_per_fu=1.37 pbc="T T T"
Co 0.000 0.000 0.000
Co 0.000 1.673 18.111
Co 1.449 0.837 9.055
Hg 0.000 0.000 6.934
Hg 0.000 0.000 20.232
Hg 0.000 1.673 11.177
Hg 0.000 1.673 25.045
Hg 1.449 0.837 2.121
Hg 1.449 0.837 15.990
W 0.000 0.000 13.583
W 0.000 1.673 4.528
W 1.449 0.837 22.639

Version Q
8
Lattice="4.088 0.000 0.000 0.000 4.088 0.000 0.000 0.000 7.739" Properties=species:S:1:pos:R:3 comment="CoHg2W meta-GGA SCAN single point on PBEsol structure" total_magnetization_mub_per_fu=2.48 pbc="T T T"
Co 0.000 0.000 0.000
Co 2.044 2.044 3.870
Hg 0.000 0.000 3.870
Hg 0.000 2.044 1.935
Hg 2.044 0.000 5.805
Hg 2.044 2.044 0.000
W 0.000 2.044 5.805
W 2.044 0.000 1.935

Most stable structure: version P

Version P
16
Lattice="7.122 0.000 0.000 0.000 7.122 0.000 0.000 0.000 7.122" Properties=species:S:1:pos:R:3 comment="LiCoI2 meta-GGA SCAN single point on PBEsol structure" total_magnetization_mub_per_fu=2.37 pbc="T T T"
Li 0.000 0.000 0.000
Li 0.000 3.561 3.561
Li 3.561 0.000 3.561
Li 3.561 3.561 0.000
Co 0.000 0.000 3.561
Co 0.000 3.561 0.000
Co 3.561 0.000 0.000
Co 3.561 3.561 3.561
I 1.780 1.780 1.780
I 1.780 1.780 5.341
I 1.780 5.341 1.780
I 1.780 5.341 5.341
I 5.341 1.780 1.780
I 5.341 1.780 5.341
I 5.341 5.341 1.780
I 5.341 5.341 5.341

Version Q
16
Lattice="6.135 0.000 0.000 0.000 6.135 0.000 0.000 0.000 11.840" Properties=species:S:1:pos:R:3 comment="LiCoI2 meta-GGA SCAN single point on PBEsol structure" total_magnetization_mub_per_fu=2.00 pbc="T T T"
Li 0.000 0.000 0.000
Li 0.000 3.067 2.960
Li 3.067 0.000 8.880
Li 3.067 3.067 5.920
Co 0.000 0.000 5.920
Co 0.000 3.067 8.880
Co 3.067 0.000 2.960
Co 3.067 3.067 0.000
I 1.367 1.534 7.400
I 1.534 4.434 10.360
I 1.534 4.767 4.440
I 1.700 1.534 1.480
I 4.434 4.601 1.480
I 4.601 1.367 4.440
I 4.601 1.700 10.360
I 4.767 4.601 7.400

Most stable structure: version Q

Version P
5
Lattice="5.124 0.000 0.000 0.000 5.124 0.000 0.000 0.000 3.342" Properties=species:S:1:pos:R:3 comment="CoRuI2N meta-GGA SCAN single point on PBEsol structure" total_magnetization_mub_per_fu=0.00 pbc="T T T"
Co 0.000 0.000 0.000
Ru 2.562 2.562 1.671
I 0.000 2.562 0.000
I 2.562 0.000 0.000
N 0.000 0.000 1.671

Version Q
5
Lattice="5.396 0.000 0.000 0.000 5.396 0.000 0.000 0.000 3.633" Properties=species:S:1:pos:R:3 comment="CoRuI2N meta-GGA SCAN single point on PBEsol structure" total_magnetization_mub_per_fu=2.58 pbc="T T T"
Co 0.000 0.000 0.000
Ru 2.698 2.698 1.816
I 0.000 2.698 1.816
I 2.698 0.000 1.816
N 2.698 2.698 0.000

Most stable structure: version Q

Version P
12
Lattice="5.974 0.000 0.000 0.000 5.974 0.000 0.000 0.000 5.974" Properties=species:S:1:pos:R:3 comment="InCoIr meta-GGA SCAN single point on PBEsol structure" total_magnetization_mub_per_fu=2.37 pbc="T T T"
In 0.000 0.000 0.000
In 0.000 2.987 2.987
In 2.987 0.000 2.987
In 2.987 2.987 0.000
Co 0.000 0.000 2.987
Co 0.000 2.987 0.000
Co 2.987 0.000 0.000
Co 2.987 2.987 2.987
Ir 1.493 1.493 1.493
Ir 1.493 4.480 4.480
Ir 4.480 1.493 4.480
Ir 4.480 4.480 1.493

Version Q
12
Lattice="5.808 0.000 0.000 0.000 5.808 0.000 0.000 0.000 5.808" Properties=species:S:1:pos:R:3 comment="InCoIr meta-GGA SCAN single point on PBEsol structure" total_magnetization_mub_per_fu=2.33 pbc="T T T"
In 0.000 0.000 0.000
In 0.000 2.904 2.904
In 2.904 0.000 2.904
In 2.904 2.904 0.000
Co 1.452 1.452 1.452
Co 1.452 4.356 4.356
Co 4.356 1.452 4.356
Co 4.356 4.356 1.452
Ir 0.000 0.000 2.904
Ir 0.000 2.904 0.000
Ir 2.904 0.000 0.000
Ir 2.904 2.904 2.904

Most stable structure: version P

Version P
5
Lattice="5.139 0.000 0.000 0.000 5.139 0.000 0.000 0.000 5.139" Properties=species:S:1:pos:R:3 comment="In3CoMo meta-GGA SCAN single point on PBEsol structure" total_magnetization_mub_per_fu=4.00 pbc="T T T"
In 0.000 0.000 2.569
In 0.000 2.569 0.000
In 2.569 0.000 0.000
Co 2.569 2.569 2.569
Mo 0.000 0.000 0.000

Version Q
5
Lattice="4.761 0.000 0.000 0.000 4.761 0.000 0.000 0.000 4.761" Properties=species:S:1:pos:R:3 comment="In3CoMo meta-GGA SCAN single point on PBEsol structure" total_magnetization_mub_per_fu=4.90 pbc="T T T"
In 0.000 0.000 2.381
In 0.000 2.381 0.000
In 2.381 0.000 0.000
Co 0.000 0.000 0.000
Mo 2.381 2.381 2.381

Most stable structure: version Q